(1)
Crystalline Hg2SbCl at its relaxed geometry, computed with PBE.

POSCAR file:
```
Hg2SbCl
1.0
3.262 0.000 0.000
0.000 3.262 0.000
0.000 0.000 9.803
Hg Cl Sb
2 1 1
direct
0.500 0.500 0.256 Hg
0.000 0.000 0.999 Hg
0.500 0.500 0.727 Cl
0.000 0.000 0.518 Sb
```

Computed properties:
Total energy = -1.61 eV per atom
M_tot = 0.00 μB/cell
Polymorph energy (0 for the lowest one) = 286.6 meV/atom
Energy relative to the elements, uncorrected = 0.030 eV/atom
Space-group type = P4mm (99)


(2)
Crystalline HgSbCl2 at its relaxed geometry, computed with PBE.

POSCAR file:
```
HgSbCl2
1.0
-3.180 2.415 4.503
1.290 -1.664 5.638
2.986 1.919 -4.860
Hg Cl Sb
1 2 1
direct
0.500 0.500 0.000 Hg
0.000 0.000 0.000 Cl
0.250 0.750 0.500 Cl
0.750 0.250 0.500 Sb
```

Computed properties:
Total energy = -2.04 eV per atom
M_tot = 0.00 μB/cell
Polymorph energy (0 for the lowest one) = 443.9 meV/atom
Energy relative to the elements, uncorrected = -0.015 eV/atom
Space-group type = I-4m2 (119)


(3)
Crystalline HgSb2Cl2 at its relaxed geometry, computed with PBE.

POSCAR file:
```
HgSb2Cl2
1.0
-6.155 -4.323 1.512
2.074 -4.889 -5.536
2.831 -2.796 3.530
Sb Cl Hg
4 4 2
direct
0.637 0.137 0.000 Sb
0.863 0.637 0.000 Sb
0.363 0.863 0.000 Sb
0.137 0.363 0.000 Sb
0.172 0.328 0.500 Cl
0.328 0.828 0.500 Cl
0.828 0.672 0.500 Cl
0.672 0.172 0.500 Cl
0.500 0.500 0.000 Hg
0.000 0.000 0.000 Hg
```

Computed properties:
Total energy = -2.76 eV per atom
M_tot = 0.00 μB/cell
Energy relative to the elements, uncorrected = -0.315 eV/atom
Space-group type = P4/mbm (127)


(4)
Crystalline HgSbCl at its relaxed geometry, computed with PBE.

POSCAR file:
```
HgSbCl
1.0
5.250 0.000 0.000
0.000 9.681 -5.436
0.000 -7.461 13.024
Hg Sb Cl
4 4 4
direct
0.738 0.456 0.158 Hg
0.238 0.544 0.342 Hg
0.762 0.456 0.658 Hg
0.262 0.544 0.842 Hg
0.209 0.041 0.585 Sb
0.709 0.959 0.915 Sb
0.791 0.959 0.415 Sb
0.291 0.041 0.085 Sb
0.421 0.838 0.720 Cl
0.579 0.162 0.280 Cl
0.079 0.838 0.220 Cl
0.921 0.162 0.780 Cl
```

Computed properties:
Total energy = -2.35 eV per atom
M_tot = 0.00 μB/cell
Polymorph energy (0 for the lowest one) = 72.7 meV/atom
Energy relative to the elements, uncorrected = -0.257 eV/atom
Space-group type = P2_1/c (14)


(5)
Crystalline HgSbCl2 at its relaxed geometry, computed with PBE.

POSCAR file:
```
HgSbCl2
1.0
3.562 0.000 0.000
0.000 3.562 0.000
0.000 0.000 8.420
Cl Hg Sb
2 1 1
direct
0.000 0.000 0.937 Cl
0.500 0.500 0.328 Cl
0.000 0.000 0.502 Hg
0.500 0.500 0.732 Sb
```

Computed properties:
Total energy = -2.20 eV per atom
M_tot = 0.00 μB/cell
Polymorph energy (0 for the lowest one) = 286.8 meV/atom
Energy relative to the elements, uncorrected = -0.172 eV/atom
Space-group type = P4mm (99)


(6)
Crystalline Hg2SbCl at its relaxed geometry, computed with PBE.

POSCAR file:
```
Hg2SbCl
1.0
-1.597 -4.060 6.090
2.090 -6.803 2.341
1.121 7.083 -2.167
Cl Hg Sb
1 2 1
direct
0.250 0.750 0.500 Cl
0.544 0.544 0.000 Hg
0.956 0.956 0.000 Hg
0.750 0.250 0.500 Sb
```

Computed properties:
Total energy = -1.67 eV per atom
M_tot = 0.00 μB/cell
Polymorph energy (0 for the lowest one) = 228.8 meV/atom
Energy relative to the elements, uncorrected = -0.027 eV/atom
Space-group type = Immm (71)


Number 1: density of states at the Fermi level 2.700 states/eV/f.u.. Number 2: density of states at the Fermi level 3.350 states/eV/f.u.. Number 3: density of states at the Fermi level 0.681 states/eV/f.u.. Number 4: density of states at the Fermi level 0.455 states/eV/f.u.. Number 5: density of states at the Fermi level 0.882 states/eV/f.u.. Number 6: density of states at the Fermi level 2.274 states/eV/f.u..